# 1
## K2GaAgBr6 (GGA-PBE)

Data for K2GaAgBr6 after structural relaxation.

Values from the calculation:
* final energy: -2.836 eV/atom
* magnetic moment: 0.000 μB per atom
* calculated volume: 315.00 Å³ per cell

Unit cell a=7.6373 b=7.6373 c=7.6373 alpha=60.00 beta=60.00 gamma=60.00
Fractional positions:
Br (0.7607, 0.2393, 0.2393)
Br (0.7607, 0.7607, 0.2393)
Br (0.7607, 0.2393, 0.7607)
Br (0.2393, 0.7607, 0.7607)
Br (0.2393, 0.2393, 0.7607)
Br (0.2393, 0.7607, 0.2393)
K (0.2500, 0.2500, 0.2500)
K (0.7500, 0.7500, 0.7500)
Ag (0.5000, 0.5000, 0.5000)
Ga (0.0000, 0.0000, 0.0000)


# 2
## LiGaAgBr5 (GGA-PBE)

Data for LiGaAgBr5 after structural relaxation.

Values from the calculation:
* final energy: -2.867 eV/atom
* magnetic moment: 0.000 μB per atom
* calculated volume: 519.30 Å³ per cell

Unit cell a=7.6629 b=7.6629 c=9.7997 alpha=107.84 beta=107.84 gamma=89.33
Fractional positions:
Ga (0.6613, 0.3387, 0.2500)
Ga (0.3387, 0.6613, 0.7500)
Br (0.1016, 0.6654, 0.8565)
Br (0.0921, 0.9079, 0.2500)
Br (0.3346, 0.8984, 0.6435)
Br (0.3647, 0.3187, 0.0692)
Br (0.6353, 0.6813, 0.9308)
Br (0.6654, 0.1016, 0.3565)
Br (0.6813, 0.6353, 0.4308)
Br (0.3187, 0.3647, 0.5692)
Br (0.9079, 0.0921, 0.7500)
Br (0.8984, 0.3346, 0.1435)
Li (0.0000, 0.0000, 0.5000)
Li (0.0000, 0.0000, 0.0000)
Ag (0.6695, 0.3305, 0.7500)
Ag (0.3305, 0.6695, 0.2500)


# 3
## MgGaAgBr2 (GGA-PBE)

Data for MgGaAgBr2 after structural relaxation.

Values from the calculation:
* final energy: -2.075 eV/atom
* magnetic moment: 0.000 μB per atom
* calculated volume: 162.18 Å³ per cell

Unit cell a=5.6437 b=5.0920 c=5.6437 alpha=90.00 beta=90.00 gamma=90.00
Fractional positions:
Br (0.5000, 0.0000, 0.0000)
Br (0.0000, 0.0000, 0.5000)
Ga (0.0000, 0.0000, 0.0000)
Ag (0.5000, 0.5000, 0.5000)
Mg (0.0000, 0.5000, 0.0000)


# 4
## NaGa2AgBr8 (GGA-PBE)

Data for NaGa2AgBr8 after structural relaxation.

Values from the calculation:
* final energy: -2.799 eV/atom
* magnetic moment: 0.000 μB per atom
* calculated volume: 403.68 Å³ per cell

Unit cell a=6.8750 b=6.8750 c=9.8619 alpha=90.00 beta=90.00 gamma=120.00
Fractional positions:
Br (0.6806, 0.0108, 0.3131)
Br (0.3333, 0.6667, 0.9974)
Br (0.0108, 0.3301, 0.6869)
Br (0.3194, 0.9892, 0.6869)
Br (0.6667, 0.3333, 0.0026)
Br (0.9892, 0.6699, 0.3131)
Br (0.6699, 0.6806, 0.6869)
Br (0.3301, 0.3194, 0.3131)
Na (0.0000, 0.0000, 0.0000)
Ag (0.0000, 0.0000, 0.5000)
Ga (0.6667, 0.3333, 0.2412)
Ga (0.3333, 0.6667, 0.7588)


# 5
## Pr8Ga3AgBr4 (GGA-PBE)

Data for Pr8Ga3AgBr4 after structural relaxation.

Values from the calculation:
* final energy: -4.394 eV/atom
* magnetic moment: 0.000 μB per atom
* calculated volume: 474.30 Å³ per cell

Unit cell a=8.7338 b=8.7739 c=8.7337 alpha=119.85 beta=120.00 gamma=90.00
Fractional positions:
Ag (0.0000, 0.5000, 0.0000)
Br (0.0000, 0.0000, 0.0000)
Br (0.5000, 0.0000, 0.0000)
Br (0.5000, 0.0000, 0.5000)
Br (0.0000, 0.0000, 0.5000)
Ga (0.0000, 0.5000, 0.5000)
Ga (0.5000, 0.5000, 0.5000)
Ga (0.5000, 0.5000, 0.0000)
Pr (0.2488, 0.7338, 0.9849)
Pr (0.2488, 0.7338, 0.4977)
Pr (0.2569, 0.2708, 0.5139)
Pr (0.7361, 0.7338, 0.9849)
Pr (0.7431, 0.7292, 0.4861)
Pr (0.7512, 0.2662, 0.0151)
Pr (0.7512, 0.2662, 0.5023)
Pr (0.2639, 0.2662, 0.0151)


# 6
## RbGa2AgBr8 (GGA-PBE)

Data for RbGa2AgBr8 after structural relaxation.

Values from the calculation:
* final energy: -2.869 eV/atom
* magnetic moment: 0.000 μB per atom
* calculated volume: 418.37 Å³ per cell

Unit cell a=6.9311 b=6.9311 c=10.0561 alpha=90.00 beta=90.00 gamma=120.00
Fractional positions:
Rb (0.0000, 0.0000, 0.0000)
Ga (0.6667, 0.3333, 0.2506)
Ga (0.3333, 0.6667, 0.7494)
Br (0.6744, 0.0104, 0.3217)
Br (0.3256, 0.9896, 0.6783)
Br (0.9896, 0.6640, 0.3217)
Br (0.3333, 0.6667, 0.9844)
Br (0.6667, 0.3333, 0.0156)
Br (0.6640, 0.6744, 0.6783)
Br (0.0104, 0.3360, 0.6783)
Br (0.3360, 0.3256, 0.3217)
Ag (0.0000, 0.0000, 0.5000)


# 7
## Rb2GaAgBr6 (GGA-PBE)

Data for Rb2GaAgBr6 after structural relaxation.

Values from the calculation:
* final energy: -2.841 eV/atom
* magnetic moment: 0.000 μB per atom
* calculated volume: 320.72 Å³ per cell

Unit cell a=7.6833 b=7.6833 c=7.6833 alpha=60.00 beta=60.00 gamma=60.00
Fractional positions:
Br (0.2387, 0.7613, 0.2387)
Br (0.7613, 0.7613, 0.2387)
Br (0.7613, 0.2387, 0.2387)
Br (0.2387, 0.2387, 0.7613)
Br (0.7613, 0.2387, 0.7613)
Br (0.2387, 0.7613, 0.7613)
Rb (0.2500, 0.2500, 0.2500)
Rb (0.7500, 0.7500, 0.7500)
Ga (0.0000, 0.0000, 0.0000)
Ag (0.5000, 0.5000, 0.5000)


# 8
## GaAg2SbBr (GGA-PBE)

Data for GaAg2SbBr after structural relaxation.

Values from the calculation:
* final energy: -2.412 eV/atom
* magnetic moment: 0.000 μB per atom
* calculated volume: 135.09 Å³ per cell

Unit cell a=4.9576 b=5.4963 c=4.9576 alpha=90.00 beta=90.00 gamma=90.00
Fractional positions:
Ag (0.5000, 0.0000, 0.0000)
Ag (0.0000, 0.0000, 0.5000)
Br (0.0000, 0.5000, 0.0000)
Ga (0.0000, 0.0000, 0.0000)
Sb (0.5000, 0.5000, 0.5000)